Record 1
GdEr2Al3AgGe2: relaxed, PBE.

Cell: 4.2841 12.2347 7.0302 Å, 90.00 90.00 90.00°
Last column: nearest neighbours and their distance in Å.
Space group Amm2 (No. 38)
Inequivalent atoms, fractional coordinates:
Gd  0.0000  0.0000  0.0000 x2  1 Ag 2.95, 4 Ge 3.04, 2 Al 3.24
Er  0.0000  0.2076  0.6206 x4  1 Ag 2.91, 4 Ge 3.00-3.01, 2 Al 3.25
Al  0.5000  0.0000  0.6549 x2  2 Ag 2.70, 2 Ge 2.75, 2 Al 2.93
Al  0.5000  0.1199  0.2945 x4  2 Ge 2.72-2.75, 2 Ag 2.74, 2 Al 2.93
Ag  0.0000  0.0000  0.4200 x2  6 Al 2.70-2.74, 2 Er 2.91, 1 Gd 2.95
Ge  0.5000  0.1687  0.9130 x4  3 Al 2.72-2.75, 4 Er 3.00-3.01, 2 Gd 3.04

Calculated volume: 20.5 Å³/atom
Magnetic moment: 0.0 μB/f.u.
DFT total energy: -4.732 eV per atom

Record 2
Gd2ErAl3AgIr2: relaxed, PBE.

Cell: 4.1602 12.1480 7.1011 Å, 90.00 90.00 90.00°
Last column: nearest neighbours and their distance in Å.
Space group Amm2 (No. 38)
Inequivalent atoms, fractional coordinates:
Gd  0.0000  0.2111  0.0000 x4  4 Ir 2.98-2.99, 1 Ag 2.99, 6 Al 3.09-3.33
Er  0.0000  0.0000  0.3677 x2  4 Ir 2.92, 1 Ag 2.95, 2 Al 3.12
Al  0.5000  0.0000  0.0402 x2  2 Ir 2.65, 2 Ag 2.76
Al  0.5000  0.1267  0.6632 x4  2 Ir 2.68-2.72, 2 Ag 2.73
Ag  0.0000  0.0000  0.7838 x2  6 Al 2.73-2.76, 1 Er 2.95, 2 Gd 2.99
Ir  0.5000  0.1624  0.2904 x4  3 Al 2.65-2.72, 2 Er 2.92

Calculated volume: 19.9 Å³/atom
Magnetic moment: 0.0 μB/f.u.
DFT total energy: -5.782 eV per atom

Record 3
Gd2ErAl3NiAg2: relaxed, PBE.

Cell: 4.1350 12.4508 7.1970 Å, 90.00 90.00 90.00°
Last column: nearest neighbours and their distance in Å.
Space group Amm2 (No. 38)
Inequivalent atoms, fractional coordinates:
Gd  0.0000  0.1991  0.0000 x4  1 Ni 2.88, 4 Ag 3.03-3.04
Er  0.0000  0.0000  0.5944 x2  1 Ni 2.81, 4 Ag 3.00
Al  0.5000  0.0000  0.9781 x2  2 Ni 2.63, 2 Al 2.77, 2 Ag 2.87
Al  0.5000  0.1112  0.3113 x4  2 Ni 2.61, 2 Al 2.77, 1 Ag 2.86
Ni  0.0000  0.0000  0.2039 x2  6 Al 2.61-2.63, 1 Er 2.81, 2 Gd 2.88
Ag  0.5000  0.1638  0.6982 x4  3 Al 2.86-2.92, 2 Er 3.00, 4 Gd 3.03-3.04

Calculated volume: 20.6 Å³/atom
Magnetic moment: 0.0 μB/f.u.
DFT total energy: -4.524 eV per atom

Record 4
GdEr2Al3AgPd2: relaxed, PBE.

Cell: 3.8699 12.7946 7.3644 Å, 90.00 90.00 90.00°
Last column: nearest neighbours and their distance in Å.
Space group Amm2 (No. 38)
Inequivalent atoms, fractional coordinates:
Gd  0.0000  0.0000  0.0000 x2  4 Pd 2.97, 1 Ag 3.07, 6 Al 3.11-3.31
Er  0.0000  0.2075  0.6222 x4  4 Pd 2.93-2.94, 1 Ag 3.05, 2 Al 3.11
Al  0.5000  0.0000  0.6687 x2  2 Ag 2.68, 2 Pd 2.82
Al  0.5000  0.1281  0.2891 x4  2 Ag 2.71, 2 Pd 2.76-2.81
Ag  0.0000  0.0000  0.4175 x2  6 Al 2.68-2.71
Pd  0.5000  0.1690  0.9145 x4  3 Al 2.76-2.82, 4 Er 2.93-2.94, 2 Gd 2.97

Calculated volume: 20.3 Å³/atom
Magnetic moment: 0.0 μB/f.u.
DFT total energy: -4.950 eV per atom